No. 1
# ZrFeIr2 (SCAN, PBEsol geometry)
# Crystal system ... monoclinic
data_ZrFeIr2
_chemical_formula_sum 'Zr1 Fe1 Ir2'
_space_group_name_H-M_alt 'P 1 2/m 1'
_space_group_IT_number 10
_space_group_name_Hall '-P 2y'
_cell_length_a 2.766
_cell_length_b 4.257
_cell_length_c 5.279
_cell_angle_alpha 90.00
_cell_angle_beta 105.19
_cell_angle_gamma 90.00
loop_
_atom_site_label
_atom_site_type_symbol
_atom_site_fract_x
_atom_site_fract_y
_atom_site_fract_z
Zr1 Zr 0.000 0.000 0.000
Fe1 Fe 0.500 0.000 0.500
Ir1 Ir 0.353 0.500 0.725



No. 2
# ZrFe4Ir (SCAN, PBEsol geometry)
# Crystal system ... cubic
data_ZrFe4Ir
_chemical_formula_sum 'Zr4 Fe16 Ir4'
_space_group_name_H-M_alt 'F -4 3 m'
_space_group_IT_number 216
_space_group_name_Hall 'F -4 2 3'
_cell_length_a 6.733
_cell_length_b 6.733
_cell_length_c 6.733
_cell_angle_alpha 90.00
_cell_angle_beta 90.00
_cell_angle_gamma 90.00
loop_
_atom_site_label
_atom_site_type_symbol
_atom_site_fract_x
_atom_site_fract_y
_atom_site_fract_z
Zr1 Zr 0.000 0.000 0.000
Fe1 Fe 0.125 0.125 0.375
Ir1 Ir 0.250 0.250 0.750



Number 1: calculated volume 60.0 Å³ per cell, energy of formation -444 meV per atom. Number 2: calculated volume 305.3 Å³ per cell, energy of formation -273 meV per atom.